# 1
ScBeAsBr2 | PBE | relaxed

## Properties
Density of states at the Fermi level   3.38 states/eV/cell
Energy   -3.615 eV/atom
Formation energy without anion corrections   -0.004 eV/atom
Symmetry   P4/mmm
Energy relative to the lowest polymorph listed for this composition   166 meV/atom

Cell: 5.134 5.134 5.515 Å, 90.00 90.00 90.00°
Sites, in units of the cell vectors:
Br 0.000 0.500 0.000
Br 0.500 0.000 0.000
Be 0.500 0.500 0.500
As 0.000 0.000 0.500
Sc 0.000 0.000 0.000


# 2
TlCdIn2Hg8 | PBE | relaxed

## Properties
Density of states at the Fermi level   3.54 states/eV/cell
Energy   -0.870 eV/atom
Symmetry   P-3m1
Energy of formation from the pure elements   0.06 eV/atom

Cell: 6.617 6.617 8.962 Å, 90.00 90.00 120.00°
Sites, in units of the cell vectors:
Hg 0.179 0.359 0.232
Hg 0.333 0.667 0.542
Hg 0.359 0.179 0.768
Hg 0.179 0.821 0.232
Hg 0.667 0.333 0.458
Hg 0.821 0.641 0.768
Hg 0.641 0.821 0.232
Hg 0.821 0.179 0.768
In 0.333 0.667 0.890
In 0.667 0.333 0.110
Cd 0.000 0.000 0.000
Tl 0.000 0.000 0.500


# 3
NdEr4 | PBE | relaxed

## Properties
Density of states at the Fermi level   6.47 states/eV/cell
Energy   -4.581 eV/atom
Symmetry   C2/m
Energy of formation from the pure elements   0.02 eV/atom
Energy relative to the lowest polymorph listed for this composition   0 meV/atom

Cell: 3.543 3.543 14.520 Å, 83.12 83.12 60.06°
Sites, in units of the cell vectors:
Er 0.200 0.200 0.401
Er 0.599 0.599 0.204
Er 0.401 0.401 0.796
Er 0.800 0.800 0.599
Nd 0.000 0.000 0.000


# 4
ReAgMoW2 | PBE | relaxed

## Properties
Density of states at the Fermi level   8.97 states/eV/cell
Energy   -7.353 eV/atom
Symmetry   P4/mmm
Energy of formation from the pure elements   3.05 eV/atom

Cell: 4.695 4.686 4.695 Å, 90.00 90.00 90.00°
Sites, in units of the cell vectors:
Ag 0.000 0.000 0.000
W 0.500 0.000 0.000
W 0.000 0.000 0.500
Mo 0.500 0.500 0.500
Re 0.000 0.500 0.000